Record 1
## YCdReSi2 (GGA-PBE)

Data for a relaxed YCdReSi2 crystal.

Output
* DOS(E_F): 2.8 states/eV per cell
* E_tot: -5.9522 eV/atom
* formation energy (no corrections): 0.1825 eV/atom

a = 4.632 Å, b = 5.219 Å, c = 4.632 Å
α = 90.00°, β = 90.00°, γ = 90.00°
Positions (direct):
Y 0.500 0.500 0.500
Re 0.000 0.000 0.000
Si 0.000 0.000 0.500
Si 0.500 0.000 0.000
Cd 0.000 0.500 0.000

---

Record 2
## V2FePtN (GGA-PBE)

Data for a relaxed V2FePtN crystal.

Output
* DOS(E_F): 5.9 states/eV per cell
* E_tot: -8.7935 eV/atom
* formation energy (no corrections): -0.5803 eV/atom

a = 3.922 Å, b = 3.922 Å, c = 3.782 Å
α = 90.00°, β = 90.00°, γ = 90.00°
Positions (direct):
N 0.000 0.000 0.000
Fe 0.000 0.000 0.500
Pt 0.500 0.500 0.500
V 0.000 0.500 0.000
V 0.500 0.000 0.000

---

Record 3
## CrTc2Ru (GGA-PBE)

Data for a relaxed CrTc2Ru crystal.

Output
* DOS(E_F): 5.5 states/eV per cell
* ΔH_f (0 K): 3.41 kcal/mol of atoms
* E_tot: -9.7600 eV/atom
* excess energy over the best structure of this formula in the dataset: 0.17 eV per formula unit

a = 2.707 Å, b = 2.707 Å, c = 8.863 Å
α = 81.22°, β = 81.22°, γ = 60.00°
Positions (direct):
Cr 0.501 0.501 0.498
Tc 0.085 0.085 0.744
Tc 0.248 0.248 0.255
Ru 0.666 0.666 0.003

---

Record 4
## EuHPd (GGA-PBE)

Data for a relaxed EuHPd crystal.

Output
* DOS(E_F): 9.1 states/eV per cell
* E_tot: -6.5670 eV/atom
* excess energy over the best structure of this formula in the dataset: 0.76 eV per formula unit

a = 4.102 Å, b = 3.817 Å, c = 3.817 Å
α = 120.00°, β = 90.00°, γ = 90.00°
Last column: magnetic moment on the atom in μB.
Positions (direct):
Eu 0.667 0.333 0.667  6.85
H 0.167 0.667 0.333  -0.01
Pd 0.167 0.000 0.000  -0.01

---

Record 5
## U2Si4NiPt3 (GGA-PBE)

Data for a relaxed U2Si4NiPt3 crystal.

Output
* DOS(E_F): 17.6 states/eV per cell
* E_tot: -7.5480 eV/atom
* formation energy (no corrections): -0.7308 eV/atom

a = 4.149 Å, b = 4.149 Å, c = 9.832 Å
α = 90.00°, β = 90.00°, γ = 90.00°
Last column: magnetic moment on the atom in μB.
Positions (direct):
U 0.500 0.000 0.255  1.99
U 0.000 0.500 0.745  1.99
Si 0.500 0.500 0.000  -0.01
Si 0.000 0.000 0.000  -0.01
Si 0.500 0.000 0.628  -0.01
Si 0.000 0.500 0.372  -0.01
Ni 0.500 0.500 0.500  0.06
Pt 0.000 0.000 0.500  0.00
Pt 0.500 0.000 0.873  -0.03
Pt 0.000 0.500 0.127  -0.03

---

Record 6
## Ac2Hg6Au (GGA-PBE)

Data for a relaxed Ac2Hg6Au crystal.

Output
* DOS(E_F): 6.8 states/eV per cell
* ΔH_f (0 K): -8.42 kcal/mol of atoms
* E_tot: -1.8433 eV/atom

a = 5.975 Å, b = 6.875 Å, c = 6.875 Å
α = 60.01°, β = 90.02°, γ = 90.02°
Positions (direct):
Ac 0.813 0.667 0.667
Ac 0.187 0.333 0.333
Hg 0.316 0.360 0.820
Hg 0.316 0.820 0.820
Hg 0.316 0.820 0.360
Hg 0.684 0.640 0.180
Hg 0.684 0.180 0.180
Hg 0.684 0.180 0.640
Au 0.000 0.000 0.000

---

Record 7
## Sc2ZnAu (GGA-PBE)

Data for a relaxed Sc2ZnAu crystal.

Output
* DOS(E_F): 2.7 states/eV per cell
* ΔH_f (0 K): -13.85 kcal/mol of atoms
* E_tot: -4.9044 eV/atom

a = 3.416 Å, b = 3.399 Å, c = 7.435 Å
α = 62.88°, β = 90.00°, γ = 90.00°
Positions (direct):
Sc 0.000 0.996 0.004
Sc 0.000 0.504 0.496
Zn 0.500 0.250 0.250
Au 0.500 0.750 0.750

---

Record 8
## PmTmBeCd (GGA-PBE)

Data for a relaxed PmTmBeCd crystal.

Output
* DOS(E_F): 4.5 states/eV per cell
* ΔH_f (0 K): -0.42 kcal/mol of atoms
* E_tot: -3.4840 eV/atom

a = 5.129 Å, b = 5.129 Å, c = 5.129 Å
α = 60.00°, β = 60.00°, γ = 60.00°
Positions (direct):
Cd 0.750 0.750 0.750
Tm 0.000 0.000 0.000
Be 0.250 0.250 0.250
Pm 0.500 0.500 0.500